Entry 1:
Density functional theory data (GGA-PBE) for a relaxed TiPbWAu2 crystal.

Properties
Crystal system = tetragonal

```
data_TiPbWAu2
_chemical_formula_sum 'Ti1 Pb1 W1 Au2'
_cell_length_a 5.0718
_cell_length_b 5.0718
_cell_length_c 5.2529
_cell_angle_alpha 90.00
_cell_angle_beta 90.00
_cell_angle_gamma 90.00
_space_group_name_H-M_alt 'P 4/m m m'
_space_group_IT_number 123
_space_group_name_Hall '-P 4 2'
loop_
_atom_site_label
_atom_site_fract_x
_atom_site_fract_y
_atom_site_fract_z
Ti1 0.0000 0.0000 0.0000
Pb1 0.5000 0.5000 0.5000
W1 0.5000 0.5000 0.0000
Au1 0.0000 0.5000 0.5000
```

Entry 2:
Density functional theory data (GGA-PBE) for a relaxed TiZnPbAu2 crystal.

Properties
Crystal system = tetragonal

```
data_TiZnPbAu2
_chemical_formula_sum 'Ti1 Zn1 Pb1 Au2'
_cell_length_a 5.0219
_cell_length_b 5.0219
_cell_length_c 5.0229
_cell_angle_alpha 90.00
_cell_angle_beta 90.00
_cell_angle_gamma 90.00
_space_group_name_H-M_alt 'P 4/m m m'
_space_group_IT_number 123
_space_group_name_Hall '-P 4 2'
loop_
_atom_site_label
_atom_site_fract_x
_atom_site_fract_y
_atom_site_fract_z
Ti1 0.0000 0.0000 0.0000
Zn1 0.0000 0.0000 0.5000
Pb1 0.5000 0.5000 0.5000
Au1 0.0000 0.5000 0.0000
```

no.,formation enthalpy at 0 K (eV per formula unit),magnetic moment (Bohr magnetons per cell)
1,9.32,1.06
2,2.34,1.25